# 1
{"formula": "CaScNi", "functional": "GGA-PBE", "state": "optimized geometry", "e_form_mev_per_atom": -188.7, "de_polymorph_mev_per_atom": 25, "lattice_angstrom": [[5.039, 0.000, 0.000], [-0.676, 5.003, 0.000], [-0.632, -0.740, 5.752]], "species": ["Ca", "Ca", "Sc", "Sc", "Ni", "Ni"], "frac_coords": [[0.234, 0.234, 0.428], [0.766, 0.766, 0.572], [0.296, 0.703, 0.001], [0.704, 0.297, 0.999], [0.171, 0.171, 0.915], [0.829, 0.829, 0.085]]}



# 2
{"formula": "CaSc2Ni2", "functional": "GGA-PBE", "state": "optimized geometry", "e_form_mev_per_atom": -42.7, "de_polymorph_mev_per_atom": 217, "lattice_angstrom": [[-2.340, 2.340, 5.080], [2.340, -2.340, 5.080], [2.340, 2.340, -5.080]], "species": ["Ca", "Sc", "Sc", "Ni", "Ni"], "frac_coords": [[0.000, 0.000, 0.000], [0.340, 0.340, 0.000], [0.660, 0.660, 0.000], [0.250, 0.750, 0.500], [0.750, 0.250, 0.500]]}



# 3
{"formula": "Ca2ScNi", "functional": "GGA-PBE", "state": "optimized geometry", "e_form_mev_per_atom": -94.9, "de_polymorph_mev_per_atom": 6, "lattice_angstrom": [[3.421, 0.000, 0.000], [0.000, 3.421, 0.000], [0.000, 0.000, 9.089]], "species": ["Ca", "Ca", "Sc", "Ni"], "frac_coords": [[0.000, 0.000, 0.000], [0.500, 0.500, 0.355], [0.500, 0.500, 0.700], [0.000, 0.000, 0.572]]}



# 4
{"formula": "CaScNi4", "functional": "GGA-PBE", "state": "optimized geometry", "e_form_mev_per_atom": -316.5, "lattice_angstrom": [[0.000, 3.522, 3.522], [3.522, 0.000, 3.522], [3.522, 3.522, 0.000]], "species": ["Ca", "Sc", "Ni", "Ni", "Ni", "Ni"], "frac_coords": [[0.000, 0.000, 0.000], [0.250, 0.250, 0.250], [0.126, 0.625, 0.625], [0.625, 0.126, 0.625], [0.625, 0.625, 0.126], [0.625, 0.625, 0.625]]}



Copy entry 3 word for word.
{"formula": "Ca2ScNi", "functional": "GGA-PBE", "state": "optimized geometry", "e_form_mev_per_atom": -94.9, "de_polymorph_mev_per_atom": 6, "lattice_angstrom": [[3.421, 0.000, 0.000], [0.000, 3.421, 0.000], [0.000, 0.000, 9.089]], "species": ["Ca", "Ca", "Sc", "Ni"], "frac_coords": [[0.000, 0.000, 0.000], [0.500, 0.500, 0.355], [0.500, 0.500, 0.700], [0.000, 0.000, 0.572]]}



Q: Number 3 is which compound?
A: Ca2ScNi